[1]
## GdHfThSc (PBE)

Data for a relaxed GdHfThSc crystal.

Cell: 5.361 5.361 5.361 Å, 60.00 60.00 60.00°
Each line ends with the local moment (μB).
Atoms (fractional coordinates):
Sc: 0.000 0.000 0.000  0.04
Gd: 0.250 0.250 0.250  -7.15
Hf: 0.500 0.500 0.500  -0.07
Th: 0.750 0.750 0.750  0.05

Results
As for the space group: F-43m (216). As for the formation energy from the elements: 141.6 meV per atom. The value obtained for the calculated total energy is -37.2 eV for the cell shown.



[2]
## GdHfZrSc (PBE)

Data for a relaxed GdHfZrSc crystal.

Cell: 5.180 5.180 5.180 Å, 60.00 60.00 60.00°
Each line ends with the local moment (μB).
Atoms (fractional coordinates):
Sc: 0.000 0.000 0.000  0.02
Gd: 0.250 0.250 0.250  7.18
Hf: 0.500 0.500 0.500  0.09
Zr: 0.750 0.750 0.750  -0.10

Results
As for the space group: F-43m (216). As for the formation energy from the elements: 192.6 meV per atom. The value obtained for the calculated total energy is -38.1 eV for the cell shown.



[3]
## Gd2HfSe (PBE)

Data for a relaxed Gd2HfSe crystal.

Cell: 3.593 3.593 10.222 Å, 79.88 79.88 60.00°
Each line ends with the local moment (μB).
Atoms (fractional coordinates):
Gd: 0.102 0.102 0.694  7.21
Gd: 0.898 0.898 0.306  7.21
Hf: 0.000 0.000 0.000  0.54
Se: 0.500 0.500 0.500  -0.04

Results
As for the space group: R-3m (166). The calculation puts the uncorrected formation energy at -0.293 eV/atom. The value obtained for the calculated total energy is -42.8 eV for the cell shown.



[4]
## SmGdHf (PBE)

Data for a relaxed SmGdHf crystal.

Cell: 3.408 3.408 8.569 Å, 90.00 90.00 120.00°
Each line ends with the local moment (μB).
Atoms (fractional coordinates):
Gd: 0.333 0.667 0.642  -7.14
Hf: 0.667 0.333 0.334  0.06
Sm: 0.000 0.000 0.024  -0.05

Results
As for the space group: P3m1 (156). As for the offset from the most stable computed form: 16 meV per atom. As for the formation energy from the elements: 157.8 meV per atom. The value obtained for the calculated total energy is -28.3 eV for the cell shown.



[5]
## SmGdHf (PBE)

Data for a relaxed SmGdHf crystal.

Cell: 3.371 3.371 7.968 Å, 102.21 102.21 90.00°
Each line ends with the local moment (μB).
Atoms (fractional coordinates):
Gd: 0.014 0.014 0.027  7.14
Hf: 0.666 0.666 0.331  -0.04
Sm: 0.321 0.321 0.641  0.04

Results
As for the space group: I4mm (107). As for the offset from the most stable computed form: 0 meV per atom. As for the formation energy from the elements: 141.7 meV per atom. The value obtained for the calculated total energy is -28.3 eV for the cell shown.



[6]
## SmGd2Hf (PBE)

Data for a relaxed SmGd2Hf crystal.

Cell: 4.899 4.880 4.880 Å, 90.00 90.00 90.00°
Each line ends with the local moment (μB).
Atoms (fractional coordinates):
Gd: 0.000 0.000 0.500  7.09
Gd: 0.000 0.500 0.000  7.09
Hf: 0.500 0.500 0.500  -0.14
Sm: 0.500 0.000 0.000  -0.07

Results
As for the space group: P4/mmm (123). As for the offset from the most stable computed form: 46 meV per atom. As for the formation energy from the elements: 159.8 meV per atom. The value obtained for the calculated total energy is -42.2 eV for the cell shown.